Entry 1:
Crystalline CsCoTcP2 at its relaxed geometry. Source: the Open Quantum Materials Database, functional PBE.

POSCAR file:
```
CsCoTcP2
1.0
-1.977 1.977 7.112
1.977 -1.977 7.112
1.977 1.977 -7.112
Co Cs P Tc
1 1 2 1
Direct
0.000 0.000 0.000 Co
0.250 0.750 0.500 Cs
0.580 0.080 0.500 P
0.920 0.420 0.500 P
0.500 0.500 0.000 Tc
```

Computed properties:
- Space-group type: No. 119

Entry 2:
Crystalline Li2Y2Ni15 at its relaxed geometry. Source: the Open Quantum Materials Database, functional PBE.

POSCAR file:
```
Li2Y2Ni15
1.0
4.152 2.397 4.012
-4.152 2.397 4.012
0.000 -4.795 4.012
Li Ni Y
2 15 2
Direct
0.094 0.094 0.094 Li
0.906 0.906 0.906 Li
0.500 0.000 0.000 Ni
0.696 0.304 0.000 Ni
0.000 0.500 0.000 Ni
0.304 0.696 0.000 Ni
0.657 0.657 0.158 Ni
0.696 0.000 0.304 Ni
0.000 0.696 0.304 Ni
0.842 0.343 0.343 Ni
0.343 0.842 0.343 Ni
0.000 0.000 0.500 Ni
0.657 0.158 0.657 Ni
0.158 0.657 0.657 Ni
0.304 0.000 0.696 Ni
0.000 0.304 0.696 Ni
0.343 0.343 0.842 Ni
0.343 0.343 0.343 Y
0.657 0.657 0.657 Y
```

Computed properties:
- Space-group type: No. 166

Entry 3:
Crystalline TaTeS3I at its relaxed geometry. Source: the Open Quantum Materials Database, functional PBE.

POSCAR file:
```
TaTeS3I
1.0
-6.279 0.931 -1.199
1.900 -3.433 -5.876
1.142 -6.463 6.143
I S Ta Te
2 6 2 2
Direct
0.668 0.742 0.438 I
0.332 0.258 0.562 I
0.586 0.280 0.067 S
0.002 0.773 0.095 S
0.130 0.260 0.163 S
0.870 0.740 0.837 S
0.998 0.227 0.905 S
0.414 0.720 0.933 S
0.250 0.000 0.000 Ta
0.750 0.000 0.000 Ta
0.663 0.087 0.297 Te
0.337 0.913 0.703 Te
```

Computed properties:
- Space-group type: No. 2

| no. | E (eV/cell) |
| --- | --- |
| 1 | -31.835 |
| 2 | -104.674 |
| 3 | -63.738 |